VASP calculation (PBE-GGA) on an optimized crystal structure of In2SnF.

Geometry as CIF:
```
data_In2SnF
_space_group_name_H-M_alt 'I -4 2 d'
_space_group_IT_number 122
_space_group_name_Hall 'I -4 2bw'
_cell_length_a 5.430
_cell_length_b 5.430
_cell_length_c 14.910
_cell_angle_alpha 90.00
_cell_angle_beta 90.00
_cell_angle_gamma 90.00
loop_
_atom_site_label
_atom_site_type_symbol
_atom_site_fract_x
_atom_site_fract_y
_atom_site_fract_z
In1 In 0.155 0.250 0.125
Sn1 Sn 0.000 0.000 0.500
F1 F 0.000 0.000 0.000
```

Output
**Raw formation energy**: -0.606 eV/atom
**Energy relative to the lowest polymorph listed for this composition**: 0.087 eV per atom
**Final energy**: -3.4439 eV/atom
**ρ**: 5.5 g cm⁻³